# 1
Dy2PbSe (GGA-PBE, optimized geometry); total DFT energy (no corrections) = -5.17 eV/atom; ΔE to the lowest computed polymorph = 26 meV/atom; formation energy from raw total energies = -1.073 eV/atom
1.0
-1.396 3.091 -1.907
-3.792 0.215 -0.844
-3.114 4.913 6.273
Pb Dy Se
1 2 1
Cartesian
-4.154 4.118 1.776
-2.020 1.902 0.591
-2.823 4.114 4.766
-6.570 7.108 4.423



# 2
Dy2PbSe4 (GGA-PBE, optimized geometry); total DFT energy (no corrections) = -5.32 eV/atom; ΔE to the lowest computed polymorph = 4 meV/atom; formation energy from raw total energies = -1.487 eV/atom
1.0
-2.560 -0.249 3.220
-2.827 -3.923 -5.187
7.074 -11.367 4.743
Dy Se Pb
4 8 2
Cartesian
-0.647 -1.859 -0.658
2.334 -13.681 3.434
1.948 -6.029 1.082
-0.261 -9.511 1.694
-1.280 -0.125 1.610
4.372 -11.923 2.552
-2.685 -3.617 0.223
0.334 -12.289 1.951
2.257 -5.808 3.981
2.461 -8.851 1.271
1.354 -3.250 0.825
-0.773 -6.688 1.505
-1.482 -6.045 -1.645
3.169 -9.494 4.421



# 3
Dy2PbSe (GGA-PBE, optimized geometry); total DFT energy (no corrections) = -5.02 eV/atom; ΔE to the lowest computed polymorph = 176 meV/atom; formation energy from raw total energies = -0.923 eV/atom
1.0
4.492 0.000 0.000
-2.246 3.890 0.000
0.000 0.000 7.526
Dy Se Pb
2 1 1
Cartesian
0.000 2.593 5.716
2.246 1.297 1.545
2.246 1.297 4.333
0.000 0.000 0.032



# 4
Dy3PbSe2 (GGA-PBE, optimized geometry); total DFT energy (no corrections) = -5.42 eV/atom; formation energy from raw total energies = -1.343 eV/atom
1.0
-3.617 -1.550 -1.549
-0.506 -3.573 4.759
-1.150 7.039 1.416
Se Pb Dy
2 1 3
Cartesian
-1.309 -0.314 3.373
-3.965 2.231 1.253
-1.809 -0.775 -0.774
-4.152 0.351 3.570
-2.062 -2.562 1.605
-1.121 1.565 1.056



Q: Look up the total DFT energy (no corrections) of the first one.
A: -5.17 eV/atom